First-principles (PBE-GGA) data for a relaxed HSe3Br crystal, as listed in the Alexandria database.

Properties
Spin magnetization = 0.00 μB/cell
Electronic total energy = -2.252 eV per atom

Lattice parameters (Å, degrees): 4.4848 4.4848 4.4848 90.00 90.00 90.00
Fractional positions:
Se1 0.5000 0.0000 0.0000
Se2 0.0000 0.5000 0.0000
Se3 0.0000 0.0000 0.5000
H1 0.0000 0.0000 0.0000
Br1 0.5000 0.5000 0.5000

***

First-principles (PBE-GGA) data for a relaxed Sc3AgO crystal, as listed in the Alexandria database.

Properties
Energy relative to the elements, uncorrected = -1.2100 eV per atom
Spin magnetization = 0.00 μB/cell
Electronic total energy = -6.571 eV per atom

Lattice parameters (Å, degrees): 6.9270 8.6401 6.9276 90.00 28.55 90.00
Fractional positions:
Ag1 0.7219 0.7500 0.7228
Ag2 0.2781 0.2500 0.2772
Sc1 0.6427 0.4359 0.6422
Sc2 0.9581 0.2500 0.9578
Sc3 0.0419 0.7500 0.0422
Sc4 0.6427 0.0641 0.6422
Sc5 0.3573 0.5641 0.3578
Sc6 0.3573 0.9359 0.3578
O1 0.5454 0.2500 0.5450
O2 0.4546 0.7500 0.4550

***

First-principles (PBE-GGA) data for a relaxed La12NdSm3 crystal, as listed in the Alexandria database.

Properties
Calculated formation energy = 0.1 eV/f.u.
Spin magnetization = 0.00 μB/cell
Electronic total energy = -4.871 eV per atom

Lattice parameters (Å, degrees): 5.2382 5.2382 20.9555 90.00 90.00 90.00
Fractional positions:
La1 0.5000 0.5000 0.5000
La2 0.0000 0.5000 0.6248
La3 0.5000 0.5000 0.0000
La4 0.5000 0.5000 0.2504
La5 0.0000 0.5000 0.3752
La6 0.5000 0.0000 0.8744
La7 0.5000 0.0000 0.3752
La8 0.5000 0.0000 0.1256
La9 0.0000 0.5000 0.8744
La10 0.5000 0.0000 0.6248
La11 0.5000 0.5000 0.7496
La12 0.0000 0.5000 0.1256
Sm1 0.0000 0.0000 0.7496
Sm2 0.0000 0.0000 0.2504
Sm3 0.0000 0.0000 0.5000
Nd1 0.0000 0.0000 0.0000

***

First-principles (PBE-GGA) data for a relaxed Ba3Pt2 crystal, as listed in the Alexandria database.

Properties
Calculated formation energy = -3.2 eV/f.u.
Spin magnetization = 0.00 μB/cell
Electronic total energy = -4.220 eV per atom

Lattice parameters (Å, degrees): 7.8914 7.8914 8.7309 63.13 63.13 60.00
Fractional positions:
Ba1 0.2500 0.5670 0.2500
Ba2 0.7500 0.4330 0.7500
Ba3 0.0670 0.7500 0.7500
Ba4 0.5670 0.9330 0.2500
Ba5 0.4330 0.0670 0.7500
Ba6 0.9330 0.2500 0.2500
Pt1 0.1601 0.1601 0.5197
Pt2 0.3399 0.3399 0.9803
Pt3 0.8399 0.8399 0.4803
Pt4 0.6601 0.6601 0.0197

***

First-principles (PBE-GGA) data for a relaxed Sc6Al5Cd crystal, as listed in the Alexandria database.

Properties
Calculated formation energy = -5.1 eV/f.u.
Spin magnetization = 0.00 μB/cell
Electronic total energy = -5.223 eV per atom

Lattice parameters (Å, degrees): 4.8332 6.7734 7.6490 90.00 71.58 90.00
Fractional positions:
Al1 0.6660 0.5000 0.6680
Al2 0.3356 0.0000 0.3289
Al3 0.6644 0.0000 0.6711
Al4 0.3340 0.5000 0.3320
Al5 0.0000 0.5000 0.0000
Sc1 0.8313 0.2517 0.3375
Sc2 0.5000 0.7451 0.0000
Sc3 0.1687 0.2517 0.6625
Sc4 0.1687 0.7483 0.6625
Sc5 0.8313 0.7483 0.3375
Sc6 0.5000 0.2549 0.0000
Cd1 0.0000 0.0000 0.0000

***

First-principles (PBE-GGA) data for a relaxed Cs2Na2USe4 crystal, as listed in the Alexandria database.

Properties
Energy relative to the elements, uncorrected = -1.1633 eV per atom
Spin magnetization = 2.00 μB/cell
Electronic total energy = -4.449 eV per atom

Lattice parameters (Å, degrees): 4.5072 8.4722 8.6499 109.59 105.10 90.00
Each line ends with the local moment (μB).
Fractional positions:
Cs1 0.1362 0.5575 0.2725  0.00
Cs2 0.8638 0.4425 0.7275  0.00
Se1 0.4948 0.2192 0.9896  -0.05
Se2 0.5052 0.7808 0.0104  -0.05
Se3 0.8179 0.8312 0.6357  -0.04
Se4 0.1821 0.1688 0.3643  -0.04
Na1 0.6789 0.9739 0.3577  0.00
Na2 0.3211 0.0261 0.6423  0.00
U1 0.0000 0.0000 0.0000  2.16

***

- Which of these has the lowest electronic total energy?
  Sc3AgO

***

- Which value of electronic total energy does entry 6 give?
  -4.449 eV per atom

***

Copy entry 2 word for word.
First-principles (PBE-GGA) data for a relaxed Sc3AgO crystal, as listed in the Alexandria database.

Properties
Energy relative to the elements, uncorrected = -1.2100 eV per atom
Spin magnetization = 0.00 μB/cell
Electronic total energy = -6.571 eV per atom

Lattice parameters (Å, degrees): 6.9270 8.6401 6.9276 90.00 28.55 90.00
Fractional positions:
Ag1 0.7219 0.7500 0.7228
Ag2 0.2781 0.2500 0.2772
Sc1 0.6427 0.4359 0.6422
Sc2 0.9581 0.2500 0.9578
Sc3 0.0419 0.7500 0.0422
Sc4 0.6427 0.0641 0.6422
Sc5 0.3573 0.5641 0.3578
Sc6 0.3573 0.9359 0.3578
O1 0.5454 0.2500 0.5450
O2 0.4546 0.7500 0.4550

***

- Among the records above, which one has the highest spin magnetization?
  Cs2Na2USe4